In3CoS: relaxed, GGA-PBE.

Lattice parameters (Å, degrees): 4.9300 4.9300 4.9300 90.00 90.00 90.00
With the nearest neighbours (Å) after each atom.
Space group Pm-3m (No. 221)
One atom of each set of equivalent atoms:
In1 0.0000 0.0000 0.5000 (multiplicity 3)  2 Co 2.46
Co1 0.0000 0.0000 0.0000 (multiplicity 1)  6 In 2.46
S1 0.5000 0.5000 0.5000 (multiplicity 1)  12 In 3.49

Summary:
E_tot: -18.9 eV for the cell shown
theoretical density: 6.0 Mg/m³
excess energy over the best structure of this formula in the dataset: 0.000 eV/atom
formation energy from raw total energies: 0.108 eV per atom
total magnetization: 0.00 μB/atom

***

InCoS2: relaxed, GGA-PBE.

Lattice parameters (Å, degrees): 5.6320 5.6320 10.4981 90.00 90.00 90.00
With the nearest neighbours (Å) after each atom.
Space group I-42d (No. 122)
One atom of each set of equivalent atoms:
In1 0.0000 0.0000 0.0000 (multiplicity 4)  4 S 2.66
Co1 0.0000 0.0000 0.5000 (multiplicity 4)  4 S 2.16
S1 0.1745 0.2500 0.6250 (multiplicity 8)  2 Co 2.16

Summary:
E_tot: -77.2 eV for the cell shown
theoretical density: 4.7 Mg/m³
formation energy from raw total energies: -0.302 eV per atom
total magnetization: 0.00 μB/atom